No. 1
# Tb12Tl6Pd PBE optimized geometry
data_Tb12Tl6Pd
_cell_length_a 8.3466
_cell_length_b 8.3466
_cell_length_c 8.3466
_cell_angle_alpha 93.28
_cell_angle_beta 93.28
_cell_angle_gamma 93.28
_space_group_name_H-M_alt 'P 1'
_space_group_IT_number 1
loop_
_space_group_symop_operation_xyz
'x,y,z'
loop_
_atom_site_label
_atom_site_fract_x
_atom_site_fract_y
_atom_site_fract_z
_atom_site_occupancy
Tb1 0.0473 0.9319 0.7030 1
Tb2 0.0681 0.2970 0.9527 1
Tb3 0.1794 0.3966 0.5292 1
Tb4 0.2970 0.9527 0.0681 1
Tb5 0.3966 0.5292 0.1794 1
Tb6 0.4708 0.8206 0.6034 1
Tb7 0.5292 0.1794 0.3966 1
Tb8 0.6034 0.4708 0.8206 1
Tb9 0.7030 0.0473 0.9319 1
Tb10 0.8206 0.6034 0.4708 1
Tb11 0.9319 0.7030 0.0473 1
Tb12 0.9527 0.0681 0.2970 1
Tl1 0.1577 0.7685 0.3668 1
Tl2 0.2315 0.6332 0.8423 1
Tl3 0.3668 0.1577 0.7685 1
Tl4 0.6332 0.8423 0.2315 1
Tl5 0.7685 0.3668 0.1577 1
Tl6 0.8423 0.2315 0.6332 1
Pd1 0.5000 0.5000 0.5000 1
# energy of formation from the pure elements	-0.187	eV per atom
# total moment	0.00	μB per formula unit
# DOS at the Fermi energy	1.019	states/eV/atom

=====

No. 2
# Tb4TlPd15 PBE optimized geometry
data_Tb4TlPd15
_cell_length_a 4.1241
_cell_length_b 4.1241
_cell_length_c 20.6123
_cell_angle_alpha 90.00
_cell_angle_beta 90.00
_cell_angle_gamma 90.00
_space_group_name_H-M_alt 'P 1'
_space_group_IT_number 1
loop_
_space_group_symop_operation_xyz
'x,y,z'
loop_
_atom_site_label
_atom_site_fract_x
_atom_site_fract_y
_atom_site_fract_z
_atom_site_occupancy
Tb1 0.0000 0.0000 0.1005 1
Tb2 0.0000 0.0000 0.3019 1
Tb3 0.0000 0.0000 0.6981 1
Tb4 0.0000 0.0000 0.8995 1
Tl1 0.0000 0.0000 0.5000 1
Pd1 0.0000 0.5000 0.0000 1
Pd2 0.0000 0.5000 0.2010 1
Pd3 0.0000 0.5000 0.4015 1
Pd4 0.0000 0.5000 0.5985 1
Pd5 0.0000 0.5000 0.7990 1
Pd6 0.5000 0.0000 0.0000 1
Pd7 0.5000 0.0000 0.2010 1
Pd8 0.5000 0.0000 0.4015 1
Pd9 0.5000 0.0000 0.5985 1
Pd10 0.5000 0.0000 0.7990 1
Pd11 0.5000 0.5000 0.1010 1
Pd12 0.5000 0.5000 0.3014 1
Pd13 0.5000 0.5000 0.5000 1
Pd14 0.5000 0.5000 0.6986 1
Pd15 0.5000 0.5000 0.8990 1
# energy of formation from the pure elements	-0.738	eV per atom
# total moment	0.00	μB per formula unit
# DOS at the Fermi energy	0.757	states/eV/atom

=====

No. 3
# Tb7Tl2Pd2 PBE optimized geometry
data_Tb7Tl2Pd2
_cell_length_a 6.9387
_cell_length_b 6.9387
_cell_length_c 7.1371
_cell_angle_alpha 90.00
_cell_angle_beta 90.00
_cell_angle_gamma 107.41
_space_group_name_H-M_alt 'P 1'
_space_group_IT_number 1
loop_
_space_group_symop_operation_xyz
'x,y,z'
loop_
_atom_site_label
_atom_site_fract_x
_atom_site_fract_y
_atom_site_fract_z
_atom_site_occupancy
Tb1 0.0000 0.0000 0.0000 1
Tb2 0.0000 0.5000 0.2535 1
Tb3 0.0000 0.5000 0.7465 1
Tb4 0.5000 0.0000 0.2535 1
Tb5 0.5000 0.0000 0.7465 1
Tb6 0.5000 0.5000 0.2453 1
Tb7 0.5000 0.5000 0.7547 1
Tl1 0.1794 0.1794 0.5000 1
Tl2 0.8206 0.8206 0.5000 1
Pd1 0.2904 0.7096 0.0000 1
Pd2 0.7096 0.2904 0.0000 1
# energy of formation from the pure elements	-0.307	eV per atom
# total moment	0.00	μB per formula unit
# DOS at the Fermi energy	0.945	states/eV/atom

=====

No. 4
# Tb6Tl2Pd PBE optimized geometry
data_Tb6Tl2Pd
_cell_length_a 8.7638
_cell_length_b 8.7638
_cell_length_c 8.7638
_cell_angle_alpha 145.94
_cell_angle_beta 130.96
_cell_angle_gamma 61.05
_space_group_name_H-M_alt 'P 1'
_space_group_IT_number 1
loop_
_space_group_symop_operation_xyz
'x,y,z'
loop_
_atom_site_label
_atom_site_fract_x
_atom_site_fract_y
_atom_site_fract_z
_atom_site_occupancy
Tb1 0.0840 0.3427 0.7412 1
Tb2 0.2306 0.0000 0.2306 1
Tb3 0.3985 0.6573 0.7412 1
Tb4 0.6015 0.3427 0.2588 1
Tb5 0.7694 0.0000 0.7694 1
Tb6 0.9160 0.6573 0.2588 1
Tl1 0.3320 0.8320 0.5000 1
Tl2 0.6680 0.1680 0.5000 1
Pd1 0.0000 0.5000 0.5000 1
# excess energy over the best structure of this formula in the dataset	191	meV per atom
# energy of formation from the pure elements	-0.180	eV per atom
# total moment	0.00	μB per formula unit
# DOS at the Fermi energy	0.878	states/eV/atom

=====

No. 5
# TbTlPd PBE optimized geometry
data_TbTlPd
_cell_length_a 4.7693
_cell_length_b 4.7693
_cell_length_c 3.5294
_cell_angle_alpha 90.00
_cell_angle_beta 90.00
_cell_angle_gamma 120.00
_space_group_name_H-M_alt 'P 1'
_space_group_IT_number 1
loop_
_space_group_symop_operation_xyz
'x,y,z'
loop_
_atom_site_label
_atom_site_fract_x
_atom_site_fract_y
_atom_site_fract_z
_atom_site_occupancy
Tb1 0.0000 0.0000 0.0000 1
Tl1 0.3333 0.6667 0.5000 1
Pd1 0.6667 0.3333 0.5000 1
# excess energy over the best structure of this formula in the dataset	114	meV per atom
# energy of formation from the pure elements	-0.540	eV per atom
# total moment	0.00	μB per formula unit
# DOS at the Fermi energy	1.085	states/eV/atom

=====

No. 6
# Tb4TlPd2 PBE optimized geometry
data_Tb4TlPd2
_cell_length_a 10.0877
_cell_length_b 10.0877
_cell_length_c 10.0877
_cell_angle_alpha 27.53
_cell_angle_beta 27.53
_cell_angle_gamma 27.53
_space_group_name_H-M_alt 'P 1'
_space_group_IT_number 1
loop_
_space_group_symop_operation_xyz
'x,y,z'
loop_
_atom_site_label
_atom_site_fract_x
_atom_site_fract_y
_atom_site_fract_z
_atom_site_occupancy
Tb1 0.1159 0.1159 0.1159 1
Tb2 0.2970 0.2970 0.2970 1
Tb3 0.7030 0.7030 0.7030 1
Tb4 0.8841 0.8841 0.8841 1
Tl1 0.5000 0.5000 0.5000 1
Pd1 0.3987 0.3987 0.3987 1
Pd2 0.6013 0.6013 0.6013 1
# energy of formation from the pure elements	-0.458	eV per atom
# total moment	0.00	μB per formula unit
# DOS at the Fermi energy	0.812	states/eV/atom